Material: Nd8SiS3I4
Method: DFT, GGA-PBE
State: optimized geometry

Cell and atoms, written as extended XYZ:
```
16
Lattice="8.3977 0.0000 0.0000 0.0000 9.0753 0.4800 -4.1989 -4.2006 5.9368" Properties=species:S:1:pos:R:3 pbc="T T T"
Nd 0.0000 4.2935 3.0951
Nd 4.1989 0.5812 3.3217
Nd 0.0000 0.5893 3.3856
Nd 2.1410 2.6396 0.4110
Nd 6.2567 2.6396 0.4110
Nd 2.0579 2.2351 6.0058
Nd 4.1989 4.2855 3.0312
Nd -2.0579 2.2351 6.0058
S 4.1989 4.5377 0.2400
S -2.0994 2.4374 3.2084
S 2.0994 2.4374 3.2084
Si 0.0000 4.5377 0.2400
I 4.1989 0.0000 0.0000
I 2.0994 -2.1003 2.9684
I -2.0994 -2.1003 2.9684
I 0.0000 0.0000 0.0000
```

Summary:
**Raw total energy**: -5.244 eV per atom
**Space group**: R-3m, No. 166
**DOS(E_F)**: 0.4795 states/eV per atom
**E_form (uncorrected)**: -21.75 eV/f.u.
**V**: 29.34 Å³/atom

=====

Material: Nd8Si3SI4
Method: DFT, GGA-PBE
State: optimized geometry

Cell and atoms, written as extended XYZ:
```
16
Lattice="8.5632 0.0000 0.0000 0.0000 9.1633 0.4238 -4.2816 -4.2826 6.0542" Properties=species:S:1:pos:R:3 pbc="T T T"
I 2.1408 -2.1413 3.0271
I 0.0000 0.0000 0.0000
I -2.1408 -2.1413 3.0271
I 4.2816 0.0000 0.0000
Nd 4.2816 4.3991 3.1106
Nd 4.2816 0.5068 3.3930
Nd -2.1466 2.2269 6.1198
Nd 0.0000 4.3739 3.0850
Nd 2.1466 2.2269 6.1198
Nd 2.1350 2.6538 0.3581
Nd 0.0000 0.4817 3.3674
Nd 6.4282 2.6538 0.3581
Si -2.1408 2.4404 3.2390
Si 2.1408 2.4404 3.2390
Si 4.2816 4.5817 0.2119
S 0.0000 4.5817 0.2119
```

Summary:
**Raw total energy**: -5.147 eV per atom
**Space group**: R-3m, No. 166
**DOS(E_F)**: 0.4272 states/eV per atom
**E_form (uncorrected)**: -17.61 eV/f.u.
**V**: 30.66 Å³/atom

=====

Material: Nd6Si2SI3
Method: DFT, GGA-PBE
State: optimized geometry

Cell and atoms, written as extended XYZ:
```
12
Lattice="7.3852 -0.0011 0.0000 -3.6917 6.3963 0.0000 -1.2319 -2.1330 7.7442" Properties=species:S:1:pos:R:3 pbc="T T T"
I 4.8983 0.0130 3.8721
I 1.2308 2.1311 3.8721
I -2.4367 4.2492 3.8721
Nd 2.4689 4.2750 1.4908
Nd -0.0074 -0.0127 6.2534
Nd 0.0104 4.2645 6.2578
Nd 2.4512 -0.0023 1.4864
Nd -1.2270 2.1220 1.4864
Nd 3.6886 2.1403 6.2578
S 0.0000 0.0000 0.0000
Si 0.0041 4.2618 0.0000
Si 3.6893 2.1334 0.0000
```

Summary:
**Raw total energy**: -5.173 eV per atom
**Space group**: C2/m, No. 12
**DOS(E_F)**: 0.3186 states/eV per atom
**E_form (uncorrected)**: -13.85 eV/f.u.
**V**: 30.48 Å³/atom